# 1
Material: Dy8Ho2Sc3
Method: DFT, PBE
State: relaxed

Results
Calculated formation energy in eV/atom: 0.256
Energy in eV/f.u.: -61.64
ΔE to the lowest computed polymorph in kJ/mol of atoms: 6.2

```
13
Lattice="-5.575 -0.339 -3.405 -3.619 -4.710 6.393 0.450 8.458 0.531" Properties=species:S:1:pos:R:3 pbc="T T T"
Dy -6.985 -1.584 0.835
Dy -1.758 4.993 2.683
Dy -4.960 2.087 -1.270
Dy -3.784 1.322 4.788
Dy -4.910 3.702 2.126
Dy -3.586 5.424 -0.212
Dy -5.157 -2.015 3.730
Dy -3.833 -0.292 1.392
Ho -2.146 2.340 0.509
Ho -6.598 1.069 3.009
Sc -2.788 -0.169 -1.703
Sc -0.593 -0.772 1.047
Sc -3.026 -3.938 5.345
```


# 2
Material: Ti2In2Cu7Au
Method: DFT, PBE
State: relaxed

Results
Calculated formation energy in eV/atom: 0.097
Energy in eV/f.u.: -52.05

```
12
Lattice="-2.665 1.904 -2.192 -0.604 -3.249 -2.147 -11.989 -4.766 3.283" Properties=species:S:1:pos:R:3 pbc="T T T"
Ti -10.869 -4.358 -1.297
Ti -4.389 -1.753 0.241
In -5.946 -2.395 -1.997
In -9.313 -3.716 0.941
Cu -1.635 -0.672 -2.169
Cu -6.793 -2.711 0.582
Cu -8.466 -3.400 -1.637
Cu -4.271 -0.234 -2.118
Cu -3.242 -2.807 -2.095
Cu -12.017 -3.304 1.040
Cu -10.987 -5.877 1.062
Au 0.000 0.000 0.000
```


# 3
Material: Ac2LaGe
Method: DFT, PBE
State: relaxed

Results
Calculated formation energy in eV/atom: -0.238
Energy in eV/f.u.: -18.71
ΔE to the lowest computed polymorph in kJ/mol of atoms: 0.3

```
4
Lattice="4.087 0.000 0.000 0.000 4.087 0.000 0.000 0.000 8.461" Properties=species:S:1:pos:R:3 pbc="T T T"
Ac 0.000 0.000 6.785
Ac 0.000 0.000 1.676
Ge 2.043 2.043 0.000
La 2.043 2.043 4.230
```


# 4
Material: SrLiEuGa
Method: DFT, PBE
State: relaxed

Results
Calculated formation energy in eV/atom: -0.197
Energy in eV/f.u.: -17.68

```
4
Lattice="-5.364 -0.141 1.349 -2.948 -4.604 -0.855 -1.692 -3.041 4.302" Properties=species:S:1:pos:R:3 pbc="T T T"
Eu -5.002 -3.892 2.398
Sr 0.000 0.000 0.000
Ga -2.501 -1.946 1.199
Li -7.503 -5.839 3.597
```


# 5
Material: Pr4SbPd2
Method: DFT, PBE
State: relaxed

Results
Energy in eV/f.u.: -38.49

```
14
Lattice="7.994 -1.288 -0.162 -1.861 7.881 0.162 -2.948 -3.406 6.748" Properties=species:S:1:pos:R:3 pbc="T T T"
Pr 5.677 -0.021 1.629
Pr 0.799 3.222 0.828
Pr 4.616 0.967 4.956
Pr 4.170 -2.990 4.046
Pr 1.763 -0.751 2.540
Pr 0.208 -2.377 5.920
Pr 0.622 1.607 5.117
Pr 4.742 3.922 1.630
Sb -0.872 3.885 3.455
Sb 3.185 3.186 6.748
Pd 2.648 -0.923 5.767
Pd 2.073 5.761 0.980
Pd 3.027 1.795 2.426
Pd -1.376 -0.258 4.322
```


# 6
Material: BaOs3C
Method: DFT, PBE
State: relaxed

Results
Calculated formation energy in eV/atom: 5.062
Energy in eV/f.u.: -19.53
ΔE to the lowest computed polymorph in kJ/mol of atoms: 378.3

```
5
Lattice="5.134 0.000 0.000 0.000 5.134 0.000 0.000 0.000 5.134" Properties=species:S:1:pos:R:3 pbc="T T T"
C 2.567 2.567 2.567
Os 0.000 2.567 0.000
Os 0.000 0.000 2.567
Os 2.567 0.000 0.000
Ba 0.000 0.000 0.000
```


# 7
Material: K12Hg3Se5
Method: DFT, PBE
State: relaxed

Results
Energy in eV/f.u.: -44.75

```
80
Lattice="17.548 0.000 0.000 -5.849 16.544 0.000 -5.849 -8.272 14.328" Properties=species:S:1:pos:R:3 pbc="T T T"
Hg 10.236 5.170 1.791
Hg 10.236 11.374 1.791
Hg -1.462 7.238 8.955
Hg 1.462 -1.034 5.373
Hg 13.161 0.000 3.582
Hg 1.462 8.272 3.582
Hg 4.387 0.000 10.746
Hg -7.312 8.272 10.746
Hg 4.387 9.306 8.955
Hg 7.312 1.034 5.373
Hg -4.387 -3.102 12.537
Hg -4.387 3.102 12.537
Se -1.462 4.136 3.582
Se -2.925 8.272 0.000
Se 0.000 0.000 0.000
Se 4.387 3.102 1.791
Se 5.849 -4.136 7.164
Se 5.849 8.272 0.000
Se -4.387 9.306 5.373
Se 7.312 -5.170 12.537
Se 7.312 7.238 5.373
Se 1.462 -4.136 10.746
Se 4.387 12.408 3.582
Se 2.925 4.136 7.164
Se 8.774 0.000 0.000
Se -2.925 -4.136 7.164
Se -1.462 1.034 8.955
Se -1.462 13.442 1.791
Se -5.849 4.136 7.164
Se 10.236 -1.034 8.955
Se 1.462 5.170 12.537
Se 7.312 4.136 10.746
K 11.487 1.625 0.309
K 0.211 5.216 5.911
K 13.117 3.972 4.325
K 7.355 2.376 1.562
K 2.297 5.953 9.694
K 12.701 8.258 2.530
K -1.419 9.868 5.887
K -4.431 14.168 1.562
K 0.628 10.591 9.694
K 7.772 8.286 2.530
K 8.985 4.681 5.602
K 8.985 14.919 0.309
K -5.222 7.236 7.473
K 3.927 6.088 1.277
K -6.061 11.863 5.602
K 3.136 -3.056 8.417
K -0.628 1.283 2.839
K 3.927 10.470 1.253
K 7.355 12.573 4.325
K -1.002 6.074 1.253
K -3.552 9.555 11.489
K 4.343 6.677 5.887
K 8.146 9.308 7.473
K 6.851 -2.184 13.051
K 1.506 1.595 8.441
K -2.297 -1.036 6.855
K -1.002 10.457 1.277
K -1.506 -4.300 10.003
K 9.402 -1.283 2.839
K 6.851 2.198 13.075
K 1.923 -2.198 13.075
K 2.713 11.328 5.911
K 6.477 6.989 11.489
K 11.910 -3.591 8.726
K 11.071 1.036 6.855
K -3.136 -6.647 14.019
K 1.923 2.184 13.051
K 5.222 -2.319 4.634
K -1.923 -0.014 11.798
K -3.136 3.591 8.726
K 10.280 -5.896 12.766
K 7.268 -1.595 8.441
K -1.506 5.896 12.766
K -6.851 0.014 11.798
K 3.552 2.319 4.634
K -7.268 4.300 10.003
K 5.638 3.056 8.417
K -5.638 6.647 14.019
```


# 8
Material: La4Pr15Er
Method: DFT, PBE
State: relaxed

Results
Calculated formation energy in eV/atom: 0.014
Energy in eV/f.u.: -95.69

```
20
Lattice="5.255 0.000 0.000 0.000 5.255 0.000 0.000 0.000 26.220" Properties=species:S:1:pos:R:3 pbc="T T T"
La 0.000 0.000 5.206
La 0.000 0.000 10.470
La 0.000 0.000 15.750
La 0.000 0.000 21.014
Pr 2.628 2.628 0.000
Pr 2.628 2.628 5.184
Pr 2.628 2.628 10.474
Pr 2.628 2.628 15.746
Pr 2.628 2.628 21.035
Pr 2.628 0.000 2.556
Pr 2.628 0.000 7.838
Pr 2.628 0.000 13.110
Pr 2.628 0.000 18.381
Pr 2.628 0.000 23.664
Pr 0.000 2.628 2.556
Pr 0.000 2.628 7.838
Pr 0.000 2.628 13.110
Pr 0.000 2.628 18.381
Pr 0.000 2.628 23.664
Er 0.000 0.000 0.000
```


# 9
Material: YTm5In3
Method: DFT, PBE
State: relaxed

Results
Calculated formation energy in eV/atom: -0.352
Energy in eV/f.u.: -40.20

```
18
Lattice="6.674 0.000 0.000 0.000 9.231 0.000 0.000 -4.616 7.994" Properties=species:S:1:pos:R:3 pbc="T T T"
Y 0.000 0.000 0.000
Y 3.337 0.000 0.000
Tm 0.000 4.616 2.665
Tm 3.337 0.000 5.329
Tm 0.000 0.000 5.329
Tm 3.337 4.616 2.665
Tm 5.006 3.067 5.311
Tm 5.006 -1.549 2.683
Tm 5.006 3.098 0.000
Tm 1.669 1.549 2.683
Tm 1.669 6.165 5.311
Tm 1.669 6.134 0.000
In 5.006 1.534 2.657
In 5.006 6.150 5.337
In 5.006 6.163 0.000
In 1.669 3.082 5.337
In 1.669 -1.534 2.657
In 1.669 3.068 0.000
```


# 10
Material: As2AuS
Method: DFT, PBE
State: relaxed

Results
Energy in eV/f.u.: -15.61

```
8
Lattice="-1.295 -2.705 4.747 3.426 -4.202 -1.460 5.839 -0.582 4.582" Properties=species:S:1:pos:R:3 pbc="T T T"
As 1.078 -2.362 3.932
As 3.440 -3.109 0.825
As 5.177 -3.025 4.670
As 6.245 -6.482 6.313
Au 0.000 0.000 0.000
Au 2.805 -3.370 5.486
S 1.065 -3.454 1.644
S 5.165 -4.119 2.383
```


# 11
Material: BeBPdAu
Method: DFT, PBE
State: relaxed

Results
Calculated formation energy in eV/atom: 0.076
Energy in eV/f.u.: -18.57
ΔE to the lowest computed polymorph in kJ/mol of atoms: 6.8

```
4
Lattice="3.159 -0.028 0.027 -0.698 3.707 -0.041 -0.995 -0.450 4.293" Properties=species:S:1:pos:R:3 pbc="T T T"
Be 0.466 2.315 0.555
B -0.790 0.441 3.510
Au -0.355 0.212 1.331
Pd 0.918 2.033 3.047
```


# 12
Material: BaCuSi
Method: DFT, PBE
State: relaxed

Results
Energy in eV/f.u.: -11.08

```
3
Lattice="-0.736 3.155 -5.455 0.481 0.049 -6.423 -3.010 -1.182 -1.270" Properties=species:S:1:pos:R:3 pbc="T T T"
Ba -0.259 3.198 -11.864
Cu -1.027 1.976 -8.909
Si -2.235 0.052 -4.253
```


# 13
Material: LaTe2Os
Method: DFT, PBE
State: relaxed

Results
Energy in eV/f.u.: -22.01
ΔE to the lowest computed polymorph in kJ/mol of atoms: 52.2

```
4
Lattice="2.334 0.000 9.053 -1.167 2.021 9.053 -1.167 -2.021 9.053" Properties=species:S:1:pos:R:3 pbc="T T T"
Te 0.000 0.000 23.965
Te 0.000 0.000 3.195
Os 0.000 0.000 13.580
La 0.000 0.000 0.000
```


# 14
Material: Li2LaHAu
Method: DFT, PBE
State: relaxed

Results
Energy in eV/f.u.: -17.62

```
5
Lattice="4.212 0.000 0.000 0.000 4.212 0.000 0.000 0.000 5.141" Properties=species:S:1:pos:R:3 pbc="T T T"
H 0.000 0.000 0.000
Li 0.000 2.106 0.000
Li 2.106 0.000 0.000
Au 2.106 2.106 2.570
La 0.000 0.000 2.570
```


# 15
Material: CuGePdAu
Method: DFT, PBE
State: relaxed

Results
Calculated formation energy in eV/atom: -0.108
Energy in eV/f.u.: -17.62

```
4
Lattice="4.444 0.000 0.000 2.222 3.849 0.000 2.222 1.283 3.629" Properties=species:S:1:pos:R:3 pbc="T T T"
Ge 2.222 1.283 0.907
Au 4.444 2.566 1.814
Cu 6.666 3.849 2.722
Pd 0.000 0.000 0.000
```


# 16
Material: Cr2ReRh
Method: DFT, PBE
State: relaxed

Results
Calculated formation energy in eV/atom: 0.102
Energy in eV/f.u.: -38.64

```
4
Lattice="2.667 0.000 0.000 0.000 3.725 0.000 0.000 0.000 5.347" Properties=species:S:1:pos:R:3 pbc="T T T"
Cr 0.000 0.000 0.065
Cr 1.333 1.863 1.299
Re 0.000 0.000 2.570
Rh 1.333 1.863 4.086
```


# 17
Material: GeBiSb
Method: DFT, PBE
State: relaxed

Results
Energy in eV/f.u.: -12.22

```
3
Lattice="-1.873 -4.601 -2.173 3.922 -1.585 -0.025 -2.492 -0.577 3.369" Properties=species:S:1:pos:R:3 pbc="T T T"
Sb -1.544 -3.836 0.856
Ge 1.130 -2.855 0.347
Bi -0.029 -0.072 -0.034
```


# 18
Material: UCrP
Method: DFT, PBE
State: relaxed

Results
Calculated formation energy in eV/atom: 0.579
Energy in eV/f.u.: -24.59

```
3
Lattice="-1.621 -1.499 -1.394 -0.432 -1.488 2.101 -4.377 5.639 1.470" Properties=species:S:1:pos:R:3 pbc="T T T"
Cr -5.865 2.220 1.987
U -1.307 1.003 0.441
P -4.066 0.839 1.379
```


# 19
Material: HgBiAu
Method: DFT, PBE
State: relaxed

Results
Calculated formation energy in eV/atom: 0.071
Energy in eV/f.u.: -7.25

```
3
Lattice="-1.958 2.475 -0.196 -3.000 -2.489 -1.722 0.386 -1.031 6.246" Properties=species:S:1:pos:R:3 pbc="T T T"
Au -1.187 -0.340 2.396
Bi -1.970 -1.202 -0.280
Hg -4.153 -0.624 2.725
```


# 20
Material: CrSb2PdRu
Method: DFT, PBE
State: relaxed

Results
Energy in eV/f.u.: -28.96

```
5
Lattice="-1.013 -4.730 1.382 1.391 0.980 4.371 -4.696 1.354 1.191" Properties=species:S:1:pos:R:3 pbc="T T T"
Sb -2.348 0.677 0.596
Sb -0.506 -2.365 0.691
Cr 0.695 0.490 2.186
Pd -2.159 -1.198 3.472
Ru 0.000 0.000 0.000
```